[1]
Entry from Alexandria via LeMat-Bulk: crystalline LiBeSnF6 at its relaxed geometry (GGA-PBE).

```
data_LiBeSnF6
_cell_length_a 4.9432
_cell_length_b 4.9432
_cell_length_c 4.6541
_cell_angle_alpha 90.00
_cell_angle_beta 90.00
_cell_angle_gamma 120.00
_symmetry_space_group_name_H-M 'P 3 1 2'
_symmetry_Int_Tables_number 149
loop_
_symmetry_equiv_pos_as_xyz
'x,y,z'
'-y,x-y,z'
'-x+y,-x,z'
'-y,-x,-z'
'-x+y,y,-z'
'x,x-y,-z'
loop_
_atom_site_label
_atom_site_fract_x
_atom_site_fract_y
_atom_site_fract_z
_atom_site_occupancy
Li1 0.0000 0.0000 0.0000 1
Be1 0.3333 0.6667 0.0000 1
Sn1 0.6667 0.3333 0.5000 1
F1 0.0401 0.3655 0.2179 1
```

Output
raw formation energy	-23.6	eV/f.u.

[2]
Entry from Alexandria via LeMat-Bulk: crystalline Ca2SmCuSe4 at its relaxed geometry (GGA-PBE).

```
data_Ca2SmCuSe4
_cell_length_a 4.059
_cell_length_b 13.418
_cell_length_c 14.479
_cell_angle_alpha 90.00
_cell_angle_beta 90.00
_cell_angle_gamma 90.00
_symmetry_space_group_name_H-M 'C m c m'
_symmetry_Int_Tables_number 63
_symmetry_space_group_name_Hall '-C 2c 2'
loop_
_atom_site_label
_atom_site_fract_x
_atom_site_fract_y
_atom_site_fract_z
_atom_site_occupancy
Ca1 0.000 0.131 0.063 1
Sm1 0.000 0.382 0.250 1
Cu1 0.000 0.348 0.750 1
Se1 0.000 0.044 0.250 1
Se2 0.000 0.219 0.627 1
Se3 0.000 0.500 0.000 1
```

Output
raw formation energy	-12.6	eV/f.u.

[3]
Entry from Alexandria via LeMat-Bulk: crystalline YV3Si at its relaxed geometry (GGA-PBE).

```
data_YV3Si
_cell_length_a 4.554
_cell_length_b 4.554
_cell_length_c 4.554
_cell_angle_alpha 90.00
_cell_angle_beta 90.00
_cell_angle_gamma 90.00
_symmetry_space_group_name_H-M 'P m -3 m'
_symmetry_Int_Tables_number 221
_symmetry_space_group_name_Hall '-P 4 2 3'
loop_
_atom_site_label
_atom_site_fract_x
_atom_site_fract_y
_atom_site_fract_z
_atom_site_occupancy
Y1 0.000 0.000 0.000 1
V1 0.000 0.500 0.500 1
Si1 0.500 0.500 0.500 1
```

Output
raw formation energy	2.4	eV/f.u.
energy above the most stable polymorph in this dataset	0.000	kcal/mol of atoms

[4]
Entry from Alexandria via LeMat-Bulk: crystalline Ti3VNi at its relaxed geometry (GGA-PBE).

```
data_Ti3VNi
_cell_length_a 4.526
_cell_length_b 4.526
_cell_length_c 4.526
_cell_angle_alpha 90.00
_cell_angle_beta 90.00
_cell_angle_gamma 90.00
_symmetry_space_group_name_H-M 'P m -3 m'
_symmetry_Int_Tables_number 221
_symmetry_space_group_name_Hall '-P 4 2 3'
loop_
_atom_site_label
_atom_site_fract_x
_atom_site_fract_y
_atom_site_fract_z
_atom_site_occupancy
Ti1 0.000 0.000 0.500 1
V1 0.500 0.500 0.500 1
Ni1 0.000 0.000 0.000 1
```

Output
ΔH_f (0 K)	2.80	eV/f.u.
energy above the most stable polymorph in this dataset	0.000	kcal/mol of atoms

[5]
Entry from Alexandria via LeMat-Bulk: crystalline PmY5Ho3 at its relaxed geometry (GGA-PBE).

```
data_PmY5Ho3
_cell_length_a 8.647
_cell_length_b 8.647
_cell_length_c 15.529
_cell_angle_alpha 90.00
_cell_angle_beta 90.00
_cell_angle_gamma 90.00
_symmetry_space_group_name_H-M 'I 4/m c m'
_symmetry_Int_Tables_number 140
_symmetry_space_group_name_Hall '-I 4 2c'
loop_
_atom_site_label
_atom_site_fract_x
_atom_site_fract_y
_atom_site_fract_z
_atom_site_occupancy
Pm1 0.000 0.500 0.250 1
Y1 0.000 0.000 0.000 1
Y2 0.202 0.298 0.136 1
Ho1 0.000 0.000 0.250 1
Ho2 0.118 0.382 0.500 1
```

Output
ΔH_f (0 K)	2.52	eV/f.u.
energy above the most stable polymorph in this dataset	1.505	kcal/mol of atoms

[6]
Entry from Alexandria via LeMat-Bulk: crystalline BeNi2Rh at its relaxed geometry (GGA-PBE).

```
data_BeNi2Rh
_cell_length_a 2.609
_cell_length_b 3.670
_cell_length_c 4.836
_cell_angle_alpha 90.00
_cell_angle_beta 105.57
_cell_angle_gamma 90.00
_symmetry_space_group_name_H-M 'P 1 m 1'
_symmetry_Int_Tables_number 6
loop_
_symmetry_equiv_pos_as_xyz
'x,y,z'
'x,-y,z'
loop_
_atom_site_label
_atom_site_fract_x
_atom_site_fract_y
_atom_site_fract_z
_atom_site_occupancy
Be1 0.000 0.000 0.000 1
Ni1 0.141 0.500 0.274 1
Ni2 0.748 0.000 0.489 1
Rh1 0.405 0.500 0.805 1
```

Output
ΔH_f (0 K)	-0.56	eV/f.u.

[7]
Entry from Alexandria via LeMat-Bulk: crystalline InCuSb2 at its relaxed geometry (GGA-PBE).

```
data_InCuSb2
_cell_length_a 4.091
_cell_length_b 5.664
_cell_length_c 8.512
_cell_angle_alpha 90.00
_cell_angle_beta 90.00
_cell_angle_gamma 90.00
_symmetry_space_group_name_H-M 'I m m m'
_symmetry_Int_Tables_number 71
_symmetry_space_group_name_Hall '-I 2 2'
loop_
_atom_site_label
_atom_site_fract_x
_atom_site_fract_y
_atom_site_fract_z
_atom_site_occupancy
In1 0.000 0.000 0.000 1
Cu1 0.000 0.000 0.500 1
Sb1 0.000 0.500 0.199 1
```

Output
raw formation energy	0.8	eV/f.u.

[8]
Entry from Alexandria via LeMat-Bulk: crystalline Tb12Si5Sn at its relaxed geometry (GGA-PBE).

```
data_Tb12Si5Sn
_cell_length_a 9.503
_cell_length_b 9.582
_cell_length_c 10.290
_cell_angle_alpha 90.00
_cell_angle_beta 90.00
_cell_angle_gamma 90.00
_symmetry_space_group_name_H-M 'I m m m'
_symmetry_Int_Tables_number 71
_symmetry_space_group_name_Hall '-I 2 2'
loop_
_atom_site_label
_atom_site_fract_x
_atom_site_fract_y
_atom_site_fract_z
_atom_site_occupancy
Tb1 0.000 0.198 0.233 1
Tb2 0.204 0.500 0.179 1
Tb3 0.229 0.319 0.500 1
Si1 0.000 0.000 0.000 1
Si2 0.000 0.373 0.000 1
Si3 0.000 0.500 0.385 1
Sn1 0.000 0.000 0.500 1
```

Output
raw formation energy	-10.6	eV/f.u.

[9]
Entry from Alexandria via LeMat-Bulk: crystalline MgTl4Cu at its relaxed geometry (GGA-PBE).

```
data_MgTl4Cu
_cell_length_a 8.976
_cell_length_b 8.976
_cell_length_c 8.976
_cell_angle_alpha 90.00
_cell_angle_beta 90.00
_cell_angle_gamma 90.00
_symmetry_space_group_name_H-M 'F -4 3 m'
_symmetry_Int_Tables_number 216
_symmetry_space_group_name_Hall 'F -4 2 3'
loop_
_atom_site_label
_atom_site_fract_x
_atom_site_fract_y
_atom_site_fract_z
_atom_site_occupancy
Mg1 0.000 0.000 0.000 1
Tl1 0.125 0.125 0.625 1
Cu1 0.250 0.250 0.250 1
```

Output
ΔH_f (0 K)	2.64	eV/f.u.

[10]
Entry from Alexandria via LeMat-Bulk: crystalline Y6Au7 at its relaxed geometry (GGA-PBE).

```
data_Y6Au7
_cell_length_a 5.8209
_cell_length_b 5.8209
_cell_length_c 30.8503
_cell_angle_alpha 90.00
_cell_angle_beta 90.00
_cell_angle_gamma 120.00
_symmetry_space_group_name_H-M 'R -3 m'
_symmetry_Int_Tables_number 166
_symmetry_space_group_name_Hall '-R 3 2"'
loop_
_atom_site_label
_atom_site_fract_x
_atom_site_fract_y
_atom_site_fract_z
_atom_site_occupancy
Y1 0.0000 0.0000 0.0536 1
Y2 0.0000 0.0000 0.1628 1
Y3 0.0000 0.0000 0.3299 1
Au1 0.0000 0.0000 0.5000 1
Au2 0.0041 0.5021 0.0886 1
```

Output
ΔH_f (0 K)	-6.95	eV/f.u.

[11]
Entry from Alexandria via LeMat-Bulk: crystalline Dy2CuRh at its relaxed geometry (GGA-PBE).

```
data_Dy2CuRh
_cell_length_a 6.901
_cell_length_b 6.901
_cell_length_c 6.901
_cell_angle_alpha 90.00
_cell_angle_beta 90.00
_cell_angle_gamma 90.00
_symmetry_space_group_name_H-M 'F m -3 m'
_symmetry_Int_Tables_number 225
_symmetry_space_group_name_Hall '-F 4 2 3'
loop_
_atom_site_label
_atom_site_fract_x
_atom_site_fract_y
_atom_site_fract_z
_atom_site_occupancy
Dy1 0.250 0.250 0.250 1
Cu1 0.000 0.000 0.000 1
Rh1 0.000 0.000 0.500 1
```

Output
ΔH_f (0 K)	-2.26	eV/f.u.
energy above the most stable polymorph in this dataset	0.946	kcal/mol of atoms

[12]
Entry from Alexandria via LeMat-Bulk: crystalline Zr3AlNi2 at its relaxed geometry (GGA-PBE).

```
data_Zr3AlNi2
_cell_length_a 3.865
_cell_length_b 13.712
_cell_length_c 3.989
_cell_angle_alpha 90.00
_cell_angle_beta 90.00
_cell_angle_gamma 90.00
_symmetry_space_group_name_H-M 'C m m m'
_symmetry_Int_Tables_number 65
_symmetry_space_group_name_Hall '-C 2 2'
loop_
_atom_site_label
_atom_site_fract_x
_atom_site_fract_y
_atom_site_fract_z
_atom_site_occupancy
Zr1 0.000 0.000 0.000 1
Zr2 0.000 0.168 0.500 1
Al1 0.000 0.500 0.500 1
Ni1 0.000 0.352 0.000 1
```

Output
ΔH_f (0 K)	-1.48	eV/f.u.
energy above the most stable polymorph in this dataset	0.000	kcal/mol of atoms